Record 1
Here is crystalline Pb3Au at its relaxed geometry from Alexandria via LeMat-Bulk. Energies are from PBE.

Properties
density of states at the Fermi level	5.1	states/eV per cell
mass density	7.59	Mg/m³
energy relative to the elements	2.114	eV per formula unit
space group	Pm-3m (221)
calculated volume	44.8	Å³/atom

a = 5.6370 Å, b = 5.6370 Å, c = 5.6370 Å
α = 90.00°, β = 90.00°, γ = 90.00°
With the nearest neighbours (Å) after each atom.
Element x y z (fractional)
1 Pb 0.0000 0.0000 0.5000  2 Au 2.82
2 Pb 0.0000 0.5000 0.0000  2 Au 2.82
3 Pb 0.5000 0.0000 0.0000  2 Au 2.82
4 Au 0.0000 0.0000 0.0000  6 Pb 2.82

---

Record 2
Here is crystalline PbAu4 at its relaxed geometry from Alexandria via LeMat-Bulk. Energies are from PBE.

Properties
density of states at the Fermi level	3.6	states/eV per cell
mass density	15.06	Mg/m³
energy relative to the elements	-0.002	eV per formula unit
space group	I4/mmm (139)
calculated volume	21.9	Å³/atom

a = 3.9836 Å, b = 3.9836 Å, c = 13.8287 Å
α = 90.00°, β = 90.00°, γ = 90.00°
With the nearest neighbours (Å) after each atom.
Element x y z (fractional)
1 Pb 0.0000 0.0000 0.0000  8 Au 3.14
2 Pb 0.5000 0.5000 0.5000  8 Au 3.14
3 Au 0.0000 0.0000 0.3997  5 Au 2.77-2.87
4 Au 0.0000 0.0000 0.6003  5 Au 2.77-2.87
5 Au 0.0000 0.5000 0.2500  8 Au 2.82-2.87
6 Au 0.0000 0.5000 0.7500  8 Au 2.82-2.87
7 Au 0.5000 0.0000 0.2500  8 Au 2.82-2.87
8 Au 0.5000 0.0000 0.7500  8 Au 2.82-2.87
9 Au 0.5000 0.5000 0.1003  5 Au 2.77-2.87
10 Au 0.5000 0.5000 0.8997  5 Au 2.77-2.87

---

Record 3
Here is crystalline Pb3Au2 at its relaxed geometry from Alexandria via LeMat-Bulk. Energies are from PBE.

Properties
density of states at the Fermi level	3.2	states/eV per cell
mass density	13.09	Mg/m³
energy relative to the elements	-0.217	eV per formula unit
space group	I4/mmm (139)
calculated volume	25.8	Å³/atom

a = 3.6705 Å, b = 3.6705 Å, c = 19.1294 Å
α = 90.00°, β = 90.00°, γ = 90.00°
With the nearest neighbours (Å) after each atom.
Element x y z (fractional)
1 Pb 0.0000 0.0000 0.0000  8 Au 3.16, 2 Pb 3.51
2 Pb 0.0000 0.0000 0.1835  4 Au 3.11
3 Pb 0.0000 0.0000 0.8165  4 Au 3.11
4 Pb 0.5000 0.5000 0.3165  4 Au 3.11
5 Pb 0.5000 0.5000 0.5000  8 Au 3.16, 2 Pb 3.51
6 Pb 0.5000 0.5000 0.6835  4 Au 3.11
7 Au 0.0000 0.0000 0.4057  8 Pb 3.11-3.16
8 Au 0.0000 0.0000 0.5943  8 Pb 3.11-3.16
9 Au 0.5000 0.5000 0.0943  8 Pb 3.11-3.16
10 Au 0.5000 0.5000 0.9057  8 Pb 3.11-3.16

---

Record 4
Here is crystalline Pb3Au at its relaxed geometry from Alexandria via LeMat-Bulk. Energies are from PBE.

Properties
density of states at the Fermi level	6.2	states/eV per cell
mass density	11.97	Mg/m³
energy relative to the elements	-0.125	eV per formula unit
space group	Cmcm (63)
calculated volume	28.4	Å³/atom

a = 8.6865 Å, b = 11.3157 Å, c = 4.6229 Å
α = 90.00°, β = 90.00°, γ = 90.00°
With the nearest neighbours (Å) after each atom.
Element x y z (fractional)
1 Pb 0.0000 0.1129 0.2500  2 Au 3.10, 6 Pb 3.45-3.46
2 Pb 0.0000 0.8871 0.7500  2 Au 3.10, 6 Pb 3.45-3.46
3 Pb 0.2034 0.3780 0.2500  3 Au 3.05-3.24
4 Pb 0.2034 0.6220 0.7500  3 Au 3.05-3.24
5 Pb 0.2966 0.1220 0.7500  3 Au 3.05-3.24
6 Pb 0.2966 0.8780 0.2500  3 Au 3.05-3.24
7 Pb 0.5000 0.3871 0.7500  2 Au 3.10, 6 Pb 3.45-3.46
8 Pb 0.5000 0.6129 0.2500  2 Au 3.10, 6 Pb 3.45-3.46
9 Pb 0.7034 0.1220 0.7500  3 Au 3.05-3.24
10 Pb 0.7034 0.8780 0.2500  3 Au 3.05-3.24
11 Pb 0.7966 0.3780 0.2500  3 Au 3.05-3.24
12 Pb 0.7966 0.6220 0.7500  3 Au 3.05-3.24
13 Au 0.0000 0.2957 0.7500  8 Pb 3.05-3.24
14 Au 0.0000 0.7043 0.2500  8 Pb 3.05-3.24
15 Au 0.5000 0.2043 0.2500  8 Pb 3.05-3.24
16 Au 0.5000 0.7957 0.7500  8 Pb 3.05-3.24